Material: YTlGa2
Method: DFT, PBE-GGA
State: optimized geometry

* ΔH_f (0 K): -53 kJ/mol of formula units
* theoretical density: 7.36 Mg/m³
* total energy: -3.8591 eV/atom
* polymorph energy (0 for the lowest one): 246 meV/atom

```
YTlGa2
1.0
7.9104 0.0000 0.0000
0.0000 7.9104 0.0000
3.9552 3.9552 3.1222
Ga Y Tl
4 2 2
Cartesian
6.0884 1.9776 0.7806
5.9328 5.7773 2.3417
9.8880 10.0436 2.3417
1.8221 5.9328 0.7806
3.9552 7.9104 1.5611
3.9552 3.9552 0.0000
0.0000 0.0000 0.0000
7.9104 3.9552 1.5611
```